*one*
DFT (PBE) results for Cd2SeBr after structural relaxation.

POSCAR file:
```
Cd2SeBr
1.0
4.004 0.000 0.000
0.000 4.004 0.000
0.000 0.000 14.157
Cd Se Br
4 2 2
Direct
0.000 0.000 0.000 Cd
0.000 0.500 0.250 Cd
0.500 0.000 0.750 Cd
0.500 0.500 0.500 Cd
0.000 0.500 0.750 Se
0.500 0.000 0.250 Se
0.000 0.000 0.500 Br
0.500 0.500 0.000 Br
```

Values from the calculation:
- SG: I-4m2, No. 119
- DOS(E_F): 0.282 states/eV per atom
- Magnetic moment: 0.000 μB/f.u.

***

*two*
DFT (PBE) results for Cd2SeBr after structural relaxation.

POSCAR file:
```
Cd2SeBr
1.0
7.247 0.000 0.000
0.000 7.247 0.000
0.000 0.000 7.247
Cd Se Br
8 4 4
Direct
0.250 0.250 0.250 Cd
0.250 0.250 0.750 Cd
0.250 0.750 0.250 Cd
0.250 0.750 0.750 Cd
0.750 0.250 0.250 Cd
0.750 0.250 0.750 Cd
0.750 0.750 0.250 Cd
0.750 0.750 0.750 Cd
0.000 0.000 0.000 Se
0.000 0.500 0.500 Se
0.500 0.000 0.500 Se
0.500 0.500 0.000 Se
0.000 0.000 0.500 Br
0.000 0.500 0.000 Br
0.500 0.000 0.000 Br
0.500 0.500 0.500 Br
```

Values from the calculation:
- SG: Fm-3m, No. 225
- DOS(E_F): 0.382 states/eV per atom
- Magnetic moment: 0.000 μB/f.u.

***

Stability summary - winner: *one*; margin: 72 meV/atom.

***

*one*
DFT (PBE) results for CdSeBr2 after structural relaxation.

POSCAR file:
```
CdSeBr2
1.0
4.062 0.000 0.000
0.000 5.708 0.000
0.000 0.000 11.177
Cd Se Br
2 2 4
Direct
0.000 0.000 0.000 Cd
0.500 0.500 0.000 Cd
0.000 0.000 0.500 Se
0.500 0.500 0.500 Se
0.000 0.500 0.162 Br
0.000 0.500 0.838 Br
0.500 0.000 0.162 Br
0.500 0.000 0.838 Br
```

Values from the calculation:
- SG: Cmmm, No. 65
- DOS(E_F): 0.485 states/eV per atom
- Magnetic moment: 0.665 μB/f.u.

***

*two*
DFT (PBE) results for CdSeBr2 after structural relaxation.

POSCAR file:
```
CdSeBr2
1.0
4.949 0.000 0.000
0.000 4.485 0.000
-2.216 0.000 6.178
Cd Se Br
1 1 2
Direct
0.000 0.000 0.000 Cd
0.121 0.500 0.245 Se
0.412 0.000 0.801 Br
0.710 0.500 0.367 Br
```

Values from the calculation:
- SG: Pm, No. 6
- Magnetic moment: 0.000 μB/f.u.

***

*three*
DFT (PBE) results for CdSeBr2 after structural relaxation.

POSCAR file:
```
CdSeBr2
1.0
4.075 0.000 0.000
-2.038 3.529 0.000
0.000 0.000 25.762
Cd Se Br
3 3 6
Direct
0.000 0.000 0.000 Cd
0.333 0.667 0.667 Cd
0.667 0.333 0.333 Cd
0.000 0.000 0.271 Se
0.333 0.667 0.938 Se
0.667 0.333 0.605 Se
0.000 0.000 0.531 Br
0.000 0.000 0.728 Br
0.333 0.667 0.197 Br
0.333 0.667 0.395 Br
0.667 0.333 0.062 Br
0.667 0.333 0.864 Br
```

Values from the calculation:
- SG: R3m, No. 160
- DOS(E_F): 0.217 states/eV per atom
- Magnetic moment: 2.024 μB/f.u.

***

*four*
DFT (PBE) results for CdSeBr2 after structural relaxation.

POSCAR file:
```
CdSeBr2
1.0
3.955 0.000 0.000
-1.978 3.425 0.000
0.000 0.000 30.819
Cd Se Br
3 3 6
Direct
0.000 0.000 0.000 Cd
0.333 0.667 0.667 Cd
0.667 0.333 0.333 Cd
0.000 0.000 0.500 Se
0.333 0.667 0.167 Se
0.667 0.333 0.833 Se
0.000 0.000 0.386 Br
0.000 0.000 0.614 Br
0.333 0.667 0.053 Br
0.333 0.667 0.280 Br
0.667 0.333 0.720 Br
0.667 0.333 0.947 Br
```

Values from the calculation:
- SG: R-3m, No. 166
- DOS(E_F): 0.203 states/eV per atom
- Magnetic moment: 2.000 μB/f.u.

***

Stability summary - winner: *two*; margin: 274 meV/atom.

***

*one*
DFT (PBE) results for CdSe3Br after structural relaxation.

POSCAR file:
```
CdSe3Br
1.0
5.268 0.000 0.000
0.000 5.268 0.000
0.000 0.000 5.268
Cd Se Br
1 3 1
Direct
0.000 0.000 0.000 Cd
0.000 0.000 0.500 Se
0.000 0.500 0.000 Se
0.500 0.000 0.000 Se
0.500 0.500 0.500 Br
```

Values from the calculation:
- SG: Pm-3m, No. 221
- DOS(E_F): 1.334 states/eV per atom
- Magnetic moment: 0.000 μB/f.u.

***

*two*
DFT (PBE) results for CdSe3Br after structural relaxation.

POSCAR file:
```
CdSe3Br
1.0
5.204 0.000 0.000
0.000 5.204 0.000
0.000 0.000 5.204
Cd Se Br
1 3 1
Direct
0.000 0.000 0.000 Cd
0.000 0.500 0.500 Se
0.500 0.000 0.500 Se
0.500 0.500 0.000 Se
0.500 0.500 0.500 Br
```

Values from the calculation:
- SG: Pm-3m, No. 221
- DOS(E_F): 0.778 states/eV per atom
- Magnetic moment: 0.000 μB/f.u.

***

Stability summary - winner: *one*; margin: 59 meV/atom.

***

*one*
DFT (PBE) results for CdSiSeBr2 after structural relaxation.

POSCAR file:
```
CdSiSeBr2
1.0
5.084 0.000 0.000
0.000 5.084 0.000
0.000 0.000 5.087
Cd Si Se Br
1 1 1 2
Direct
0.000 0.000 0.000 Cd
0.500 0.500 0.500 Si
0.500 0.500 0.000 Se
0.000 0.500 0.500 Br
0.500 0.000 0.500 Br
```

Values from the calculation:
- SG: P4/mmm, No. 123
- DOS(E_F): 0.413 states/eV per atom
- Magnetic moment: 0.000 μB/f.u.

***

*two*
DFT (PBE) results for CdSiSeBr2 after structural relaxation.

POSCAR file:
```
CdSiSeBr2
1.0
5.285 0.000 0.000
0.000 5.285 0.000
0.000 0.000 5.469
Cd Si Se Br
1 1 1 2
Direct
0.000 0.000 0.000 Cd
0.500 0.500 0.500 Si
0.000 0.000 0.500 Se
0.000 0.500 0.000 Br
0.500 0.000 0.000 Br
```

Values from the calculation:
- SG: P4/mmm, No. 123
- DOS(E_F): 0.245 states/eV per atom
- Magnetic moment: 0.001 μB/f.u.

***

Stability summary - winner: *one*; margin: 398 meV/atom.

***

*one*
DFT (PBE) results for CdSiSe2Br after structural relaxation.

POSCAR file:
```
CdSiSe2Br
1.0
4.910 0.000 0.000
0.000 4.910 0.000
0.000 0.000 5.079
Cd Si Se Br
1 1 2 1
Direct
0.000 0.000 0.000 Cd
0.500 0.500 0.500 Si
0.000 0.500 0.500 Se
0.500 0.000 0.500 Se
0.500 0.500 0.000 Br
```

Values from the calculation:
- SG: P4/mmm, No. 123
- DOS(E_F): 0.117 states/eV per atom
- Magnetic moment: 0.000 μB/f.u.

***

*two*
DFT (PBE) results for CdSiSe2Br after structural relaxation.

POSCAR file:
```
CdSiSe2Br
1.0
5.215 0.000 0.000
0.000 5.215 0.000
0.000 0.000 5.328
Cd Si Se Br
1 1 2 1
Direct
0.000 0.000 0.000 Cd
0.500 0.500 0.500 Si
0.000 0.500 0.000 Se
0.500 0.000 0.000 Se
0.000 0.000 0.500 Br
```

Values from the calculation:
- SG: P4/mmm, No. 123
- DOS(E_F): 0.624 states/eV per atom
- Magnetic moment: 0.000 μB/f.u.

***

Stability summary - winner: *one*; margin: 521 meV/atom.

***

*one*
DFT (PBE) results for TaCdSe2Br after structural relaxation.

POSCAR file:
```
TaCdSe2Br
1.0
5.169 0.000 0.000
0.000 5.169 0.000
0.000 0.000 5.190
Ta Cd Se Br
1 1 2 1
Direct
0.000 0.000 0.000 Ta
0.500 0.500 0.500 Cd
0.000 0.500 0.500 Se
0.500 0.000 0.500 Se
0.500 0.500 0.000 Br
```

Values from the calculation:
- SG: P4/mmm, No. 123
- DOS(E_F): 1.058 states/eV per atom
- Magnetic moment: 2.354 μB/f.u.

***

*two*
DFT (PBE) results for TaCdSe2Br after structural relaxation.

POSCAR file:
```
TaCdSe2Br
1.0
5.230 0.000 0.000
0.000 5.230 0.000
0.000 0.000 5.085
Ta Cd Se Br
1 1 2 1
Direct
0.000 0.000 0.000 Ta
0.500 0.500 0.000 Cd
0.000 0.500 0.500 Se
0.500 0.000 0.500 Se
0.500 0.500 0.500 Br
```

Values from the calculation:
- SG: P4/mmm, No. 123
- DOS(E_F): 0.762 states/eV per atom
- Magnetic moment: 3.052 μB/f.u.

***

*three*
DFT (PBE) results for TaCdSe2Br after structural relaxation.

POSCAR file:
```
TaCdSe2Br
1.0
5.050 0.000 0.000
0.000 5.050 0.000
0.000 0.000 5.263
Ta Cd Se Br
1 1 2 1
Direct
0.000 0.000 0.000 Ta
0.500 0.500 0.500 Cd
0.000 0.500 0.000 Se
0.500 0.000 0.000 Se
0.000 0.000 0.500 Br
```

Values from the calculation:
- SG: P4/mmm, No. 123
- DOS(E_F): 0.517 states/eV per atom
- Magnetic moment: 0.000 μB/f.u.

***

Stability summary - winner: *three*; margin: 1206 meV/atom.

***

*one*
DFT (PBE) results for CdWSeBr2 after structural relaxation.

POSCAR file:
```
CdWSeBr2
1.0
5.231 0.000 0.000
0.000 5.231 0.000
0.000 0.000 5.533
Cd W Se Br
1 1 1 2
Direct
0.000 0.000 0.000 Cd
0.500 0.500 0.500 W
0.000 0.000 0.500 Se
0.000 0.500 0.000 Br
0.500 0.000 0.000 Br
```

Values from the calculation:
- SG: P4/mmm, No. 123
- DOS(E_F): 1.272 states/eV per atom
- Magnetic moment: 4.035 μB/f.u.

***

*two*
DFT (PBE) results for CdWSeBr2 after structural relaxation.

POSCAR file:
```
CdWSeBr2
1.0
5.326 0.000 0.000
0.000 5.326 0.000
0.000 0.000 4.874
Cd W Se Br
1 1 1 2
Direct
0.000 0.000 0.000 Cd
0.500 0.500 0.500 W
0.500 0.500 0.000 Se
0.000 0.500 0.500 Br
0.500 0.000 0.500 Br
```

Values from the calculation:
- SG: P4/mmm, No. 123
- DOS(E_F): 0.474 states/eV per atom
- Magnetic moment: 1.778 μB/f.u.

***

Stability summary - winner: *two*; margin: 901 meV/atom.

***

*one*
DFT (PBE) results for YCdSe2Br after structural relaxation.

POSCAR file:
```
YCdSe2Br
1.0
5.285 0.000 0.000
0.000 5.285 0.000
0.000 0.000 5.152
Y Cd Se Br
1 1 2 1
Direct
0.000 0.000 0.000 Y
0.500 0.500 0.500 Cd
0.000 0.500 0.500 Se
0.500 0.000 0.500 Se
0.500 0.500 0.000 Br
```

Values from the calculation:
- SG: P4/mmm, No. 123
- DOS(E_F): 0.226 states/eV per atom
- Magnetic moment: 0.000 μB/f.u.

***

*two*
DFT (PBE) results for YCdSe2Br after structural relaxation.

POSCAR file:
```
YCdSe2Br
1.0
5.536 0.000 0.000
0.000 5.536 0.000
0.000 0.000 5.466
Y Cd Se Br
1 1 2 1
Direct
0.000 0.000 0.000 Y
0.500 0.500 0.500 Cd
0.000 0.500 0.000 Se
0.500 0.000 0.000 Se
0.000 0.000 0.500 Br
```

Values from the calculation:
- SG: P4/mmm, No. 123
- DOS(E_F): 0.511 states/eV per atom
- Magnetic moment: 0.000 μB/f.u.

***

Stability summary - winner: *two*; margin: 294 meV/atom.